{"formula": "Li2CeMnN4", "functional": "PBE-GGA", "state": "relaxed", "lattice_angstrom": [[-2.695, 2.695, 3.122], [2.695, -2.695, 3.122], [2.695, 2.695, -3.122]], "species": ["Li", "Li", "Ce", "Mn", "N", "N", "N", "N"], "frac_coords": [[0.250, 0.750, 0.500], [0.750, 0.250, 0.500], [0.000, 0.000, 0.000], [0.500, 0.500, 0.000], [0.154, 0.519, 0.000], [0.481, 0.481, 0.635], [0.519, 0.154, 0.000], [0.846, 0.846, 0.365]], "crystal_system": "tetragonal", "sg": "I-42m (121)", "e_form_raw_kj_per_mol_fu": -486}

=====

{"formula": "Dy2MgRe", "functional": "PBE-GGA", "state": "relaxed", "lattice_angstrom": [[3.458, 0.000, 0.000], [0.000, 3.458, 0.000], [0.000, 0.000, 8.185]], "species": ["Dy", "Dy", "Mg", "Re"], "frac_coords": [[0.000, 0.000, 0.202], [0.000, 0.000, 0.798], [0.500, 0.500, 0.500], [0.500, 0.500, 0.000]], "crystal_system": "tetragonal", "e_above_lowest_polymorph_mev_per_atom": 0, "sg": "P4/mmm (123)", "formation_energy_ev_per_atom": 0.047}

=====

{"formula": "In2SbP", "functional": "PBE-GGA", "state": "relaxed", "lattice_angstrom": [[1.994, 1.151, 7.225], [-1.994, 1.151, 7.225], [0.000, -2.303, 7.225]], "species": ["In", "In", "Sb", "P"], "frac_coords": [[0.237, 0.237, 0.237], [0.763, 0.763, 0.763], [0.000, 0.000, 0.000], [0.500, 0.500, 0.500]], "crystal_system": "trigonal", "e_above_lowest_polymorph_mev_per_atom": 151, "sg": "R-3m (166)", "e_form_raw_kj_per_mol_fu": 3}

=====

{"formula": "CaHgPbF6", "functional": "PBE-GGA", "state": "relaxed", "lattice_angstrom": [[6.091, 0.000, 0.000], [-3.045, 5.275, 0.000], [0.000, 0.000, 10.149]], "species": ["Ca", "Ca", "Hg", "Hg", "Pb", "Pb", "F", "F", "F", "F", "F", "F", "F", "F", "F", "F", "F", "F"], "frac_coords": [[0.333, 0.667, 0.250], [0.667, 0.333, 0.750], [0.333, 0.667, 0.750], [0.667, 0.333, 0.250], [0.000, 0.000, 0.000], [0.000, 0.000, 0.500], [0.008, 0.346, 0.135], [0.008, 0.662, 0.365], [0.338, 0.346, 0.365], [0.338, 0.992, 0.135], [0.346, 0.008, 0.635], [0.346, 0.338, 0.865], [0.654, 0.662, 0.135], [0.654, 0.992, 0.365], [0.662, 0.008, 0.865], [0.662, 0.654, 0.635], [0.992, 0.338, 0.635], [0.992, 0.654, 0.865]], "crystal_system": "trigonal", "sg": "P-31c (163)", "e_form_raw_kj_per_mol_fu": -2214}